First-principles (PBEsol) data for a relaxed CaMg2Ni2 crystal, as listed in the Alexandria database.

Formation energy   -60 meV/atom
Magnetization   0.00 μB per formula unit
Space-group type   I4/mmm

a = 6.1844 Å, b = 6.1844 Å, c = 6.1844 Å
α = 141.20°, β = 141.20°, γ = 56.03°
Fractional coordinates of all 5 atoms:
Ca (0.0000, 0.0000, 0.0000)
Mg (0.2500, 0.7500, 0.5000)
Mg (0.7500, 0.2500, 0.5000)
Ni (0.3977, 0.3977, 0.0000)
Ni (0.6023, 0.6023, 0.0000)